[1]
The following is a DFT calculation (SCAN) of a crystal of HfZrGe2 relaxed with PBEsol.

## Properties
M_tot = 0.000 μB/cell
ΔH_f (0 K) = -0.39 eV per atom

Cell and atoms, written as POSCAR:
```
HfZrGe2
1.0
4.6884 0.0000 0.0000
2.3442 4.0603 0.0000
2.3442 1.3534 3.8281
Hf Zr Ge
1 1 2
direct
0.5000 0.5000 0.5000
0.0000 0.0000 0.0000
0.7500 0.7500 0.7500
0.2500 0.2500 0.2500
```

---

[2]
The following is a DFT calculation (SCAN) of a crystal of HgGeIO2 relaxed with PBEsol.

## Properties
M_tot = 0.237 μB/cell
Raw formation energy = 551 meV per atom

Cell and atoms, written as POSCAR:
```
HgGeIO2
1.0
4.2053 0.0000 0.0000
0.0000 4.2053 0.0000
0.0000 0.0000 5.8608
Hg I Ge O
1 1 1 2
direct
0.0000 0.0000 0.0000
0.0000 0.0000 0.5000
0.5000 0.5000 0.5000
0.5000 0.0000 0.0000
0.0000 0.5000 0.0000
```

---

[3]
The following is a DFT calculation (SCAN) of a crystal of TiHgGe2I relaxed with PBEsol.

## Properties
M_tot = 2.155 μB/cell
Raw formation energy = 1365 meV per atom

Cell and atoms, written as POSCAR:
```
TiHgGe2I
1.0
5.3592 0.0000 0.0000
0.0000 5.3592 0.0000
0.0000 0.0000 5.4415
Ge Hg I Ti
2 1 1 1
direct
0.5000 0.0000 0.0000
0.0000 0.5000 0.0000
0.0000 0.0000 0.5000
0.0000 0.0000 0.0000
0.5000 0.5000 0.5000
```

---

[4]
The following is a DFT calculation (SCAN) of a crystal of InHg2Ge2 relaxed with PBEsol.

## Properties
M_tot = 0.000 μB/cell
ΔH_f (0 K) = 0.23 eV per atom

Cell and atoms, written as POSCAR:
```
InHg2Ge2
1.0
4.5425 0.0000 0.0000
0.0000 4.5425 0.0000
-2.2712 -2.2712 5.7088
Ge Hg In
2 2 1
direct
0.6079 0.6079 0.2158
0.3921 0.3921 0.7842
0.2500 0.7500 0.5000
0.7500 0.2500 0.5000
0.0000 0.0000 0.0000
```

---

[5]
The following is a DFT calculation (SCAN) of a crystal of Hg2GeIr2 relaxed with PBEsol.

## Properties
M_tot = 0.001 μB/cell
ΔH_f (0 K) = 0.84 eV per atom

Cell and atoms, written as POSCAR:
```
Hg2GeIr2
1.0
-2.3070 1.7465 -2.6567
1.9724 -1.7883 -2.8884
-3.8353 -4.8432 3.0508
Ir Ge Hg
2 1 2
direct
0.5947 0.5947 0.1894
0.4053 0.4053 0.8106
0.0000 0.0000 0.0000
0.7500 0.2500 0.5000
0.2500 0.7500 0.5000
```

---

[6]
The following is a DFT calculation (SCAN) of a crystal of KHgGe3 relaxed with PBEsol.

## Properties
M_tot = 0.000 μB/cell
ΔH_f (0 K) = 0.61 eV per atom

Cell and atoms, written as POSCAR:
```
KHgGe3
1.0
5.3020 0.0000 0.0000
0.0000 5.3020 0.0000
0.0000 0.0000 5.3020
Ge K Hg
3 1 1
direct
0.5000 0.0000 0.0000
0.0000 0.0000 0.5000
0.0000 0.5000 0.0000
0.5000 0.5000 0.5000
0.0000 0.0000 0.0000
```

---

[7]
The following is a DFT calculation (SCAN) of a crystal of KHgGe3 relaxed with PBEsol.

## Properties
M_tot = 0.000 μB/cell
ΔH_f (0 K) = 1.64 eV per atom

Cell and atoms, written as POSCAR:
```
KHgGe3
1.0
5.4600 0.0000 0.0000
0.0000 5.4600 0.0000
0.0000 0.0000 5.4600
Ge K Hg
3 1 1
direct
0.5000 0.0000 0.0000
0.0000 0.0000 0.5000
0.0000 0.5000 0.0000
0.0000 0.0000 0.0000
0.5000 0.5000 0.5000
```

---

[8]
The following is a DFT calculation (SCAN) of a crystal of K2HgGeMo relaxed with PBEsol.

## Properties
M_tot = 3.786 μB/cell
ΔH_f (0 K) = 0.63 eV per atom

Cell and atoms, written as POSCAR:
```
K2HgGeMo
1.0
-3.7416 -3.0180 0.2379
0.4558 -0.0506 6.5256
-4.0894 5.0955 0.3252
K Ge Hg Mo
2 1 1 1
direct
0.0000 0.0000 0.5000
0.0000 0.5000 0.0000
0.5000 0.0000 0.0000
0.5000 0.5000 0.5000
0.0000 0.0000 0.0000
```

---

[9]
The following is a DFT calculation (SCAN) of a crystal of LaHgGe2Pt relaxed with PBEsol.

## Properties
M_tot = 0.000 μB/cell
ΔH_f (0 K) = -0.24 eV per atom

Cell and atoms, written as POSCAR:
```
LaHgGe2Pt
1.0
-0.2460 3.2337 3.6071
0.7829 -3.5377 3.2249
5.0488 0.7876 -0.3618
Pt La Hg Ge
1 1 1 2
direct
0.0000 0.0000 0.0000
0.5000 0.5000 0.5000
0.0000 0.0000 0.5000
0.5000 0.0000 0.0000
0.0000 0.5000 0.0000
```

---

[10]
The following is a DFT calculation (SCAN) of a crystal of Li2HgGe2 relaxed with PBEsol.

## Properties
M_tot = 0.000 μB/cell
ΔH_f (0 K) = -0.19 eV per atom

Cell and atoms, written as POSCAR:
```
Li2HgGe2
1.0
-1.9110 -0.7304 -2.0565
5.3239 -4.5526 -3.3302
-2.3891 -5.9682 4.3397
Li Ge Hg
4 4 2
direct
0.5000 0.6883 0.8117
0.5000 0.1883 0.6883
0.5000 0.3117 0.1883
0.5000 0.8117 0.3117
0.0000 0.6131 0.1131
0.0000 0.8869 0.6131
0.0000 0.3869 0.8869
0.0000 0.1131 0.3869
0.0000 0.5000 0.5000
0.0000 0.0000 0.0000
```

---

[11]
The following is a DFT calculation (SCAN) of a crystal of Li2HgGe relaxed with PBEsol.

## Properties
M_tot = 0.000 μB/cell
ΔH_f (0 K) = -0.33 eV per atom

Cell and atoms, written as POSCAR:
```
Li2HgGe
1.0
4.4941 0.0000 0.0000
2.2471 3.8920 0.0000
2.2471 1.2973 3.6694
Li Ge Hg
2 1 1
direct
0.7500 0.7500 0.7500
0.2500 0.2500 0.2500
0.0000 0.0000 0.0000
0.5000 0.5000 0.5000
```

---

[12]
The following is a DFT calculation (SCAN) of a crystal of Li2HgGe2 relaxed with PBEsol.

## Properties
M_tot = 0.000 μB/cell
ΔH_f (0 K) = -0.02 eV per atom

Cell and atoms, written as POSCAR:
```
Li2HgGe2
1.0
-0.4440 -3.7579 1.1092
3.8775 -0.2610 0.6680
-2.5563 3.7474 4.6636
Li Ge Hg
2 2 1
direct
0.2500 0.7500 0.5000
0.7500 0.2500 0.5000
0.5997 0.5997 0.1994
0.4003 0.4003 0.8006
0.0000 0.0000 0.0000
```

---

Calculated uncorrected energy, -2.446, -1.965, -2.239, -3.039, -4.313, -1.922, -1.845, -1.994, -3.246, -1.647, -1.715, -1.635 Ry/atom (same order as the records).